[1]
Entry from the Alexandria database: Pm5BiC after structural relaxation (PBE).

Computed properties:
ΔE_f, eV per atom: -0.13
E, eV per atom: -5.40
Total moment, μB/f.u.: 0.0

abc: 7.389 7.389 9.845
angles: 70.39 70.39 69.01
Sites, in units of the cell vectors:
1 Pm 0.891 0.686 0.136
2 Pm 0.199 0.640 0.479
3 Pm 0.686 0.891 0.636
4 Pm 0.947 0.053 0.250
5 Pm 0.360 0.801 0.021
6 Pm 0.640 0.199 0.979
7 Pm 0.053 0.947 0.750
8 Pm 0.314 0.109 0.364
9 Pm 0.801 0.360 0.521
10 Pm 0.109 0.314 0.864
11 Bi 0.578 0.422 0.250
12 Bi 0.422 0.578 0.750
13 C 0.000 0.000 0.000
14 C 0.000 0.000 0.500


[2]
Entry from the Alexandria database: Pm6Bi3C after structural relaxation (PBE).

Computed properties:
ΔE_f, eV per atom: -0.45
E, eV per atom: -5.38
Total moment, μB/f.u.: 2.4

abc: 7.377 9.685 9.685
angles: 100.14 90.00 90.00
Last column: magnetic moment on the atom in μB.
Sites, in units of the cell vectors:
1 Pm 0.195 0.693 0.626  0.22
2 Pm 0.695 0.626 0.693  0.22
3 Pm 0.164 0.412 0.895  0.14
4 Pm 0.664 0.895 0.412  0.14
5 Pm 0.155 0.048 0.952  0.08
6 Pm 0.716 0.225 0.775  0.19
7 Pm 0.216 0.775 0.225  0.19
8 Pm 0.655 0.952 0.048  0.08
9 Pm 0.164 0.105 0.588  0.14
10 Pm 0.664 0.588 0.105  0.14
11 Pm 0.195 0.374 0.307  0.22
12 Pm 0.695 0.307 0.374  0.22
13 Bi 0.485 0.929 0.727  -0.01
14 Bi 0.985 0.727 0.929  -0.01
15 Bi 0.396 0.388 0.612  -0.01
16 Bi 0.896 0.612 0.388  -0.01
17 Bi 0.985 0.071 0.273  -0.01
18 Bi 0.485 0.273 0.071  -0.01
19 C 0.031 0.193 0.807  -0.01
20 C 0.531 0.807 0.193  -0.01


[3]
Entry from the Alexandria database: Pm4Bi2C after structural relaxation (PBE).

Computed properties:
ΔE_f, eV per atom: -0.53
E, eV per atom: -5.67
Total moment, μB/f.u.: 0.0
Polymorph energy (0 for the lowest one), kJ/mol of formula units: 56

abc: 7.123 6.806 9.311
angles: 90.00 109.33 90.00
Sites, in units of the cell vectors:
1 Pm 0.499 0.497 0.275
2 Pm 0.116 0.750 0.939
3 Pm 0.884 0.250 0.061
4 Pm 0.499 0.003 0.275
5 Pm 0.927 0.250 0.646
6 Pm 0.501 0.997 0.725
7 Pm 0.501 0.503 0.725
8 Pm 0.073 0.750 0.354
9 Bi 0.708 0.750 0.045
10 Bi 0.292 0.250 0.955
11 Bi 0.207 0.250 0.424
12 Bi 0.793 0.750 0.576
13 C 0.277 0.750 0.200
14 C 0.723 0.250 0.800


[4]
Entry from the Alexandria database: Pm2PrBiC after structural relaxation (PBE).

Computed properties:
ΔE_f, eV per atom: -0.45
E, eV per atom: -5.93
Total moment, μB/f.u.: 0.0

abc: 5.179 5.082 5.082
angles: 90.00 90.00 90.00
Sites, in units of the cell vectors:
1 Pm 0.000 0.000 0.500
2 Pm 0.000 0.500 0.000
3 Pr 0.500 0.000 0.000
4 Bi 0.500 0.500 0.500
5 C 0.000 0.000 0.000


[5]
Entry from the Alexandria database: Pm4BiSbC after structural relaxation (PBE).

Computed properties:
Formation energy from raw total energies, eV per atom: -0.66
E, eV per atom: -5.84
Total moment, μB/f.u.: 0.0

abc: 7.048 7.055 8.882
angles: 90.00 113.37 90.00
Sites, in units of the cell vectors:
1 Pm 0.908 0.250 0.817
2 Pm 0.405 0.750 0.811
3 Pm 0.092 0.750 0.183
4 Pm 0.595 0.250 0.189
5 Pm 0.500 0.500 0.500
6 Pm 0.000 0.000 0.500
7 Pm 0.500 0.000 0.500
8 Pm 0.000 0.500 0.500
9 Bi 0.606 0.750 0.213
10 Bi 0.394 0.250 0.787
11 Sb 0.110 0.250 0.220
12 Sb 0.890 0.750 0.780
13 C 0.249 0.750 0.497
14 C 0.751 0.250 0.503


[6]
Entry from the Alexandria database: Pm2Sc2Bi2C after structural relaxation (PBE).

Computed properties:
ΔE_f, eV per atom: -0.78
E, eV per atom: -6.37
Total moment, μB/f.u.: 0.5

abc: 4.597 4.597 8.802
angles: 105.14 105.14 90.00
Last column: magnetic moment on the atom in μB.
Sites, in units of the cell vectors:
1 Pm 0.160 0.160 0.320  0.06
2 Pm 0.840 0.840 0.680  0.06
3 Sc 0.000 0.500 0.000  0.11
4 Sc 0.500 0.000 0.000  0.11
5 Bi 0.364 0.364 0.729  -0.01
6 Bi 0.636 0.636 0.271  -0.01
7 C 0.000 0.000 0.000  -0.01


[7]
Entry from the Alexandria database: Pm4SiBiC after structural relaxation (PBE).

Computed properties:
Formation energy from raw total energies, eV per atom: -0.48
E, eV per atom: -5.84
Total moment, μB/f.u.: 0.0

abc: 6.963 6.987 8.710
angles: 90.00 113.56 90.00
Sites, in units of the cell vectors:
1 Pm 0.919 0.250 0.838
2 Pm 0.406 0.750 0.813
3 Pm 0.081 0.750 0.162
4 Pm 0.594 0.250 0.187
5 Pm 0.500 0.500 0.500
6 Pm 0.000 0.000 0.500
7 Pm 0.500 0.000 0.500
8 Pm 0.000 0.500 0.500
9 Si 0.117 0.250 0.234
10 Si 0.883 0.750 0.766
11 Bi 0.606 0.750 0.211
12 Bi 0.394 0.250 0.789
13 C 0.244 0.750 0.488
14 C 0.756 0.250 0.512


[8]
Entry from the Alexandria database: Pm2Sm2Bi2C after structural relaxation (PBE).

Computed properties:
ΔE_f, eV per atom: -0.62
E, eV per atom: -5.75
Total moment, μB/f.u.: 0.0

abc: 4.986 4.986 8.949
angles: 106.17 106.17 90.00
Sites, in units of the cell vectors:
1 Pm 0.155 0.155 0.310
2 Pm 0.845 0.845 0.690
3 Sm 0.000 0.500 0.000
4 Sm 0.500 0.000 0.000
5 Bi 0.357 0.357 0.715
6 Bi 0.643 0.643 0.285
7 C 0.000 0.000 0.000


[9]
Entry from the Alexandria database: TbPm2BiC after structural relaxation (PBE).

Computed properties:
ΔE_f, eV per atom: -0.49
E, eV per atom: -5.94
Total moment, μB/f.u.: 0.0

abc: 4.937 5.095 5.095
angles: 90.00 90.00 90.00
Sites, in units of the cell vectors:
1 Tb 0.500 0.000 0.000
2 Pm 0.000 0.000 0.500
3 Pm 0.000 0.500 0.000
4 Bi 0.500 0.500 0.500
5 C 0.000 0.000 0.000


[10]
Entry from the Alexandria database: Tb2Pm2Bi2C after structural relaxation (PBE).

Computed properties:
ΔE_f, eV per atom: -0.67
E, eV per atom: -5.78
Total moment, μB/f.u.: 0.0

abc: 4.892 4.892 8.919
angles: 105.92 105.92 90.00
Sites, in units of the cell vectors:
1 Tb 0.000 0.500 0.000
2 Tb 0.500 0.000 0.000
3 Pm 0.156 0.156 0.313
4 Pm 0.844 0.844 0.687
5 Bi 0.359 0.359 0.718
6 Bi 0.641 0.641 0.282
7 C 0.000 0.000 0.000


[11]
Entry from the Alexandria database: PmThBiC after structural relaxation (PBE).

Computed properties:
ΔE_f, eV per atom: -0.43
E, eV per atom: -6.75
Total moment, μB/f.u.: 0.0

abc: 3.718 3.718 8.389
angles: 90.07 90.07 60.03
Sites, in units of the cell vectors:
1 Pm 0.535 0.535 0.639
2 Th 0.202 0.202 0.979
3 Bi 0.868 0.868 0.314
4 C 0.868 0.868 0.817


[12]
Entry from the Alexandria database: Pm2Th2Bi2C after structural relaxation (PBE).

Computed properties:
ΔE_f, eV per atom: -0.53
E, eV per atom: -6.44
Total moment, μB/f.u.: 0.0

abc: 4.958 4.958 9.173
angles: 105.68 105.68 90.00
Sites, in units of the cell vectors:
1 Pm 0.159 0.159 0.317
2 Pm 0.841 0.841 0.683
3 Th 0.000 0.500 0.000
4 Th 0.500 0.000 0.000
5 Bi 0.355 0.355 0.709
6 Bi 0.645 0.645 0.291
7 C 0.000 0.000 0.000